Density functional theory data (SCAN) for K2MgH8S2O12 at its PBEsol-relaxed geometry.

```
data_K2MgH8S2O12
_chemical_formula_sum 'K16 Mg8 H64 S16 O96'
_cell_length_a 21.903
_cell_length_b 9.425
_cell_length_c 11.741
_cell_angle_alpha 90.00
_cell_angle_beta 116.59
_cell_angle_gamma 90.00
_symmetry_space_group_name_H-M 'C 1 2/c 1'
_symmetry_Int_Tables_number 15
_symmetry_space_group_name_Hall '-C 2yc'
loop_
_atom_site_label
_atom_site_fract_x
_atom_site_fract_y
_atom_site_fract_z
K1 0.118 0.018 0.205
K2 0.127 0.493 0.214
Mg1 0.000 0.252 0.750
Mg2 0.250 0.250 0.500
H1 0.021 0.031 0.328
H2 0.021 0.467 0.328
H3 0.133 0.116 0.467
H4 0.134 0.276 0.959
H5 0.136 0.389 0.475
H6 0.138 0.240 0.830
H7 0.197 0.014 0.530
H8 0.197 0.500 0.027
S1 0.023 0.253 0.477
S2 0.239 0.242 0.200
O1 0.000 0.030 0.750
O2 0.000 0.472 0.750
O3 0.030 0.251 0.608
O4 0.048 0.258 0.119
O5 0.057 0.122 0.460
O6 0.060 0.382 0.464
O7 0.105 0.250 0.867
O8 0.178 0.092 0.466
O9 0.181 0.411 0.476
O10 0.187 0.225 0.752
O11 0.197 0.339 0.093
O12 0.217 0.260 0.302
O13 0.227 0.092 0.156
```

Results
* crystal system: monoclinic
* total DFT energy (no corrections): -1476.8 eV/cell


Density functional theory data (SCAN) for CrNi2Cl at its PBEsol-relaxed geometry.

```
data_CrNi2Cl
_chemical_formula_sum 'Cr3 Ni6 Cl3'
_cell_length_a 2.8163
_cell_length_b 2.8163
_cell_length_c 21.8538
_cell_angle_alpha 90.00
_cell_angle_beta 90.00
_cell_angle_gamma 120.00
_symmetry_space_group_name_H-M 'R -3 m'
_symmetry_Int_Tables_number 166
_symmetry_space_group_name_Hall '-R 3 2"'
loop_
_atom_site_label
_atom_site_fract_x
_atom_site_fract_y
_atom_site_fract_z
Cr1 0.0000 0.0000 0.0000
Ni1 0.0000 0.0000 0.2522
Cl1 0.0000 0.0000 0.5000
```

Results
* relative energy among the computed polymorphs: 0.000 eV per atom
* crystal system: trigonal
* total DFT energy (no corrections): -172.5 eV/cell
* formation energy from raw total energies: 0.306 eV/atom


Density functional theory data (SCAN) for ScTlCd2 at its PBEsol-relaxed geometry.

```
data_ScTlCd2
_chemical_formula_sum 'Sc2 Tl2 Cd4'
_cell_length_a 4.326
_cell_length_b 4.326
_cell_length_c 9.327
_cell_angle_alpha 90.00
_cell_angle_beta 90.00
_cell_angle_gamma 90.00
_symmetry_space_group_name_H-M 'I 4/m m m'
_symmetry_Int_Tables_number 139
_symmetry_space_group_name_Hall '-I 4 2'
loop_
_atom_site_label
_atom_site_fract_x
_atom_site_fract_y
_atom_site_fract_z
Sc1 0.000 0.000 0.000
Tl1 0.000 0.000 0.500
Cd1 0.000 0.500 0.250
```

Results
* relative energy among the computed polymorphs: 0.000 eV per atom
* crystal system: tetragonal
* energy of formation from the pure elements: -199 meV/atom
* total DFT energy (no corrections): -296.4 eV/cell


Density functional theory data (SCAN) for MnSb2Cl at its PBEsol-relaxed geometry.

```
data_MnSb2Cl
_chemical_formula_sum 'Mn3 Sb6 Cl3'
_cell_length_a 3.5414
_cell_length_b 3.5414
_cell_length_c 23.5692
_cell_angle_alpha 90.00
_cell_angle_beta 90.00
_cell_angle_gamma 120.00
_symmetry_space_group_name_H-M 'R -3 m'
_symmetry_Int_Tables_number 166
_symmetry_space_group_name_Hall '-R 3 2"'
loop_
_atom_site_label
_atom_site_fract_x
_atom_site_fract_y
_atom_site_fract_z
Mn1 0.0000 0.0000 0.0000
Sb1 0.0000 0.0000 0.2640
Cl1 0.0000 0.0000 0.5000
```

Results
* relative energy among the computed polymorphs: 0.108 eV per atom
* crystal system: trigonal
* total DFT energy (no corrections): -303.5 eV/cell
* formation energy from raw total energies: -0.102 eV/atom


Density functional theory data (SCAN) for Hf3CdRe at its PBEsol-relaxed geometry.

```
data_Hf3CdRe
_chemical_formula_sum 'Hf3 Cd1 Re1'
_cell_length_a 4.981
_cell_length_b 4.981
_cell_length_c 4.981
_cell_angle_alpha 90.00
_cell_angle_beta 90.00
_cell_angle_gamma 90.00
_symmetry_space_group_name_H-M 'P m -3 m'
_symmetry_Int_Tables_number 221
_symmetry_space_group_name_Hall '-P 4 2 3'
loop_
_atom_site_label
_atom_site_fract_x
_atom_site_fract_y
_atom_site_fract_z
Hf1 0.000 0.000 0.500
Cd1 0.500 0.500 0.500
Re1 0.000 0.000 0.000
```

Results
* crystal system: cubic
* energy of formation from the pure elements: 526 meV/atom
* total DFT energy (no corrections): -286.9 eV/cell


Density functional theory data (SCAN) for SrU2S5 at its PBEsol-relaxed geometry.

```
data_SrU2S5
_chemical_formula_sum 'Sr4 U8 S20'
_cell_length_a 8.125
_cell_length_b 7.272
_cell_length_c 11.329
_cell_angle_alpha 90.00
_cell_angle_beta 90.14
_cell_angle_gamma 90.00
_symmetry_space_group_name_H-M 'P 1 21/c 1'
_symmetry_Int_Tables_number 14
_symmetry_space_group_name_Hall '-P 2ybc'
loop_
_atom_site_label
_atom_site_fract_x
_atom_site_fract_y
_atom_site_fract_z
Sr1 0.008 0.050 0.330
U1 0.255 0.576 0.489
U2 0.498 0.024 0.319
S1 0.044 0.179 0.076
S2 0.267 0.694 0.719
S3 0.277 0.165 0.810
S4 0.283 0.543 0.000
S5 0.451 0.167 0.095
```

Results
* crystal system: monoclinic
* total DFT energy (no corrections): -1164.7 eV/cell
* formation energy from raw total energies: -1.712 eV/atom


Density functional theory data (SCAN) for CaH4Cl2O2 at its PBEsol-relaxed geometry.

```
data_CaH4Cl2O2
_chemical_formula_sum 'Ca4 H16 Cl8 O8'
_cell_length_a 5.911
_cell_length_b 7.306
_cell_length_c 11.975
_cell_angle_alpha 90.00
_cell_angle_beta 90.00
_cell_angle_gamma 90.00
_symmetry_space_group_name_H-M 'P b c n'
_symmetry_Int_Tables_number 60
_symmetry_space_group_name_Hall '-P 2n 2ab'
loop_
_atom_site_label
_atom_site_fract_x
_atom_site_fract_y
_atom_site_fract_z
Ca1 0.000 0.204 0.250
H1 0.082 0.240 0.619
H2 0.240 0.356 0.537
Cl1 0.210 0.074 0.867
O1 0.228 0.307 0.614
```

Results
* crystal system: orthorhombic
* total DFT energy (no corrections): -265.3 eV/cell


Density functional theory data (SCAN) for KSrFe2 at its PBEsol-relaxed geometry.

```
data_KSrFe2
_chemical_formula_sum 'K1 Sr1 Fe2'
_cell_length_a 3.183
_cell_length_b 3.183
_cell_length_c 9.633
_cell_angle_alpha 90.00
_cell_angle_beta 90.00
_cell_angle_gamma 90.00
_symmetry_space_group_name_H-M 'P 4/m m m'
_symmetry_Int_Tables_number 123
_symmetry_space_group_name_Hall '-P 4 2'
loop_
_atom_site_label
_atom_site_fract_x
_atom_site_fract_y
_atom_site_fract_z
K1 0.000 0.000 0.000
Sr1 0.000 0.000 0.500
Fe1 0.500 0.500 0.274
```

Results
* relative energy among the computed polymorphs: 0.472 eV per atom
* crystal system: tetragonal
* energy of formation from the pure elements: 1101 meV/atom
* total DFT energy (no corrections): -62.5 eV/cell


Density functional theory data (SCAN) for AlCdFe2 at its PBEsol-relaxed geometry.

```
data_AlCdFe2
_chemical_formula_sum 'Al1 Cd1 Fe2'
_cell_length_a 2.906
_cell_length_b 2.906
_cell_length_c 6.613
_cell_angle_alpha 90.00
_cell_angle_beta 90.00
_cell_angle_gamma 90.00
_symmetry_space_group_name_H-M 'P 4 m m'
_symmetry_Int_Tables_number 99
_symmetry_space_group_name_Hall 'P 4 -2'
loop_
_atom_site_label
_atom_site_fract_x
_atom_site_fract_y
_atom_site_fract_z
Al1 0.000 0.000 0.000
Cd1 0.500 0.500 0.326
Fe1 0.000 0.000 0.603
Fe2 0.500 0.500 0.788
```

Results
* relative energy among the computed polymorphs: 0.000 eV per atom
* crystal system: tetragonal
* energy of formation from the pure elements: -9 meV/atom
* total DFT energy (no corrections): -74.5 eV/cell


Density functional theory data (SCAN) for Zr2NiPt at its PBEsol-relaxed geometry.

```
data_Zr2NiPt
_chemical_formula_sum 'Zr4 Ni2 Pt2'
_cell_length_a 4.136
_cell_length_b 3.362
_cell_length_c 10.099
_cell_angle_alpha 90.00
_cell_angle_beta 90.00
_cell_angle_gamma 90.00
_symmetry_space_group_name_H-M 'A m m 2'
_symmetry_Int_Tables_number 38
_symmetry_space_group_name_Hall 'A 2 -2'
loop_
_atom_site_label
_atom_site_fract_x
_atom_site_fract_y
_atom_site_fract_z
Zr1 0.000 0.000 0.000
Zr2 0.500 0.000 0.283
Ni1 0.500 0.000 0.549
Pt1 0.000 0.000 0.723
```

Results
* crystal system: orthorhombic
* energy of formation from the pure elements: -955 meV/atom
* total DFT energy (no corrections): -303.2 eV/cell


Density functional theory data (SCAN) for LaB2Os2 at its PBEsol-relaxed geometry.

```
data_LaB2Os2
_chemical_formula_sum 'La8 B16 Os16'
_cell_length_a 6.560
_cell_length_b 9.120
_cell_length_c 10.115
_cell_angle_alpha 90.00
_cell_angle_beta 90.00
_cell_angle_gamma 90.00
_symmetry_space_group_name_H-M 'F d d d'
_symmetry_Int_Tables_number 70
loop_
_symmetry_equiv_pos_as_xyz
'x,y,z'
'-x,-y,-z'
'-x+1/4,-y+1/4,z'
'x+1/4,y+1/4,-z'
'x,-y+1/4,-z+1/4'
'-x,y+1/4,z+1/4'
'-x+1/4,y,-z+1/4'
'x+1/4,-y,z+1/4'
'x,y+1/2,z+1/2'
'-x,-y+1/2,-z+1/2'
'-x+1/4,-y+3/4,z+1/2'
'x+1/4,y+3/4,-z+1/2'
'x,-y+3/4,-z+3/4'
'-x,y+3/4,z+3/4'
'-x+1/4,y+1/2,-z+3/4'
'x+1/4,-y+1/2,z+3/4'
'x+1/2,y,z+1/2'
'-x+1/2,-y,-z+1/2'
'-x+3/4,-y+1/4,z+1/2'
'x+3/4,y+1/4,-z+1/2'
'x+1/2,-y+1/4,-z+3/4'
'-x+1/2,y+1/4,z+3/4'
'-x+3/4,y,-z+3/4'
'x+3/4,-y,z+3/4'
'x+1/2,y+1/2,z'
'-x+1/2,-y+1/2,-z'
'-x+3/4,-y+3/4,z'
'x+3/4,y+3/4,-z'
'x+1/2,-y+3/4,-z+1/4'
'-x+1/2,y+3/4,z+1/4'
'-x+3/4,y+1/2,-z+1/4'
'x+3/4,-y+1/2,z+1/4'
loop_
_atom_site_label
_atom_site_fract_x
_atom_site_fract_y
_atom_site_fract_z
La1 0.125 0.125 0.125
B1 0.125 0.307 0.625
Os1 0.125 0.125 0.488
```

Results
* crystal system: orthorhombic
* energy of formation from the pure elements: -531 meV/atom
* total DFT energy (no corrections): -1635.0 eV/cell


Density functional theory data (SCAN) for HfTl3Pt at its PBEsol-relaxed geometry.

```
data_HfTl3Pt
_chemical_formula_sum 'Hf1 Tl3 Pt1'
_cell_length_a 5.140
_cell_length_b 5.140
_cell_length_c 5.140
_cell_angle_alpha 90.00
_cell_angle_beta 90.00
_cell_angle_gamma 90.00
_symmetry_space_group_name_H-M 'P m -3 m'
_symmetry_Int_Tables_number 221
_symmetry_space_group_name_Hall '-P 4 2 3'
loop_
_atom_site_label
_atom_site_fract_x
_atom_site_fract_y
_atom_site_fract_z
Hf1 0.000 0.000 0.000
Tl1 0.000 0.500 0.500
Pt1 0.500 0.500 0.500
```

Results
* crystal system: cubic
* energy of formation from the pure elements: 691 meV/atom
* total DFT energy (no corrections): -346.5 eV/cell


Density functional theory data (SCAN) for RuPtW2 at its PBEsol-relaxed geometry.

```
data_RuPtW2
_chemical_formula_sum 'Ru1 Pt1 W2'
_cell_length_a 3.880
_cell_length_b 3.880
_cell_length_c 3.913
_cell_angle_alpha 90.00
_cell_angle_beta 90.00
_cell_angle_gamma 90.00
_symmetry_space_group_name_H-M 'P 4/m m m'
_symmetry_Int_Tables_number 123
_symmetry_space_group_name_Hall '-P 4 2'
loop_
_atom_site_label
_atom_site_fract_x
_atom_site_fract_y
_atom_site_fract_z
Ru1 0.000 0.000 0.000
Pt1 0.500 0.500 0.000
W1 0.000 0.500 0.500
```

Results
* relative energy among the computed polymorphs: 0.003 eV per atom
* crystal system: tetragonal
* energy of formation from the pure elements: -225 meV/atom
* total DFT energy (no corrections): -245.3 eV/cell


Density functional theory data (SCAN) for LiGa5O8 at its PBEsol-relaxed geometry.

```
data_LiGa5O8
_chemical_formula_sum 'Li4 Ga20 O32'
_cell_length_a 8.219
_cell_length_b 8.219
_cell_length_c 8.219
_cell_angle_alpha 90.00
_cell_angle_beta 90.00
_cell_angle_gamma 90.00
_symmetry_space_group_name_H-M 'P 43 3 2'
_symmetry_Int_Tables_number 212
_symmetry_space_group_name_Hall 'P 4acd 2ab 3'
loop_
_atom_site_label
_atom_site_fract_x
_atom_site_fract_y
_atom_site_fract_z
Li1 0.125 0.125 0.125
Ga1 0.004 0.504 0.996
Ga2 0.115 0.375 0.365
O1 0.113 0.387 0.613
O2 0.116 0.120 0.874
```

Results
* relative energy among the computed polymorphs: 0.000 eV per atom
* crystal system: cubic
* total DFT energy (no corrections): -655.5 eV/cell
* formation energy from raw total energies: -2.135 eV/atom


Density functional theory data (SCAN) for NaCr3Cl at its PBEsol-relaxed geometry.

```
data_NaCr3Cl
_chemical_formula_sum 'Na1 Cr3 Cl1'
_cell_length_a 5.140
_cell_length_b 5.140
_cell_length_c 5.140
_cell_angle_alpha 90.00
_cell_angle_beta 90.00
_cell_angle_gamma 90.00
_symmetry_space_group_name_H-M 'P m -3 m'
_symmetry_Int_Tables_number 221
_symmetry_space_group_name_Hall '-P 4 2 3'
loop_
_atom_site_label
_atom_site_fract_x
_atom_site_fract_y
_atom_site_fract_z
Na1 0.000 0.000 0.000
Cr1 0.000 0.000 0.500
Cl1 0.500 0.500 0.500
```

Results
* crystal system: cubic
* total DFT energy (no corrections): -60.8 eV/cell
* formation energy from raw total energies: 1.307 eV/atom


Density functional theory data (SCAN) for TaAsPb2 at its PBEsol-relaxed geometry.

```
data_TaAsPb2
_chemical_formula_sum 'Ta2 As2 Pb4'
_cell_length_a 3.321
_cell_length_b 4.671
_cell_length_c 12.414
_cell_angle_alpha 90.00
_cell_angle_beta 90.00
_cell_angle_gamma 90.00
_symmetry_space_group_name_H-M 'I m m 2'
_symmetry_Int_Tables_number 44
_symmetry_space_group_name_Hall 'I 2 -2'
loop_
_atom_site_label
_atom_site_fract_x
_atom_site_fract_y
_atom_site_fract_z
Ta1 0.000 0.000 0.000
As1 0.000 0.500 0.656
Pb1 0.000 0.000 0.450
Pb2 0.000 0.500 0.254
```

Results
* crystal system: orthorhombic
* energy of formation from the pure elements: 311 meV/atom
* total DFT energy (no corrections): -474.2 eV/cell


Density functional theory data (SCAN) for CoPbCl2 at its PBEsol-relaxed geometry.

```
data_CoPbCl2
_chemical_formula_sum 'Co3 Pb3 Cl6'
_cell_length_a 3.5489
_cell_length_b 3.5489
_cell_length_c 23.5915
_cell_angle_alpha 90.00
_cell_angle_beta 90.00
_cell_angle_gamma 120.00
_symmetry_space_group_name_H-M 'R 3 m'
_symmetry_Int_Tables_number 160
_symmetry_space_group_name_Hall 'R 3 -2"'
loop_
_atom_site_label
_atom_site_fract_x
_atom_site_fract_y
_atom_site_fract_z
Co1 0.0000 0.0000 0.0000
Pb1 0.0000 0.0000 0.2529
Cl1 0.0000 0.0000 0.5020
Cl2 0.0000 0.0000 0.7088
```

Results
* relative energy among the computed polymorphs: 0.071 eV per atom
* crystal system: trigonal
* total DFT energy (no corrections): -332.5 eV/cell
* formation energy from raw total energies: -0.445 eV/atom